This record from Alexandria via LeMat-Bulk describes a relaxed CoCuPb2 crystal. The functional is PBE.

Properties
* calculated volume: 19.75 Å³/atom
* magnetic moment: 1.335 Bohr magnetons per cell
* polymorph energy (0 for the lowest one): 0.200 eV per atom
* ΔH_f (0 K): 0.5055 eV per atom
* density of states at the Fermi level: 4.89 states/eV per cell

The structure in POSCAR format:
```
CoCuPb2
1.0
0.000 3.406 3.406
3.406 0.000 3.406
3.406 3.406 0.000
Co Cu Pb
1 1 2
direct
0.000 0.000 0.000
0.500 0.500 0.500
0.250 0.250 0.250
0.750 0.750 0.750
```

***

This record from Alexandria via LeMat-Bulk describes a relaxed Y2TlCl crystal. The functional is PBE.

Properties
* E_form (uncorrected): -0.89 eV per atom
* calculated volume: 27.44 Å³/atom
* magnetic moment: 0.000 Bohr magnetons per cell
* polymorph energy (0 for the lowest one): 0.000 eV per atom
* density of states at the Fermi level: 2.05 states/eV per cell

The structure in POSCAR format:
```
Y2TlCl
1.0
5.404 0.000 0.000
0.000 5.405 0.000
0.000 0.000 3.757
Y Tl Cl
2 1 1
direct
0.000 0.000 0.000
0.500 0.500 0.002
0.000 0.500 0.501
0.500 0.000 0.002
```

***

This record from Alexandria via LeMat-Bulk describes a relaxed HoUIr crystal. The functional is PBE.

Properties
* calculated volume: 27.27 Å³/atom
* magnetic moment: 8.570 Bohr magnetons per cell
* ΔH_f (0 K): -0.0542 eV per atom
* density of states at the Fermi level: 34.80 states/eV per cell

The structure in POSCAR format:
```
HoUIr
1.0
0.000 6.284 7.238
3.598 0.000 7.238
3.598 6.284 0.000
Ho U Ir
4 4 4
direct
0.004 0.004 0.246
0.246 0.246 0.004
0.754 0.754 0.996
0.996 0.996 0.754
0.244 0.244 0.506
0.494 0.494 0.756
0.506 0.506 0.244
0.756 0.756 0.494
0.215 0.535 0.215
0.465 0.785 0.465
0.535 0.215 0.535
0.785 0.465 0.785
```

***

This record from Alexandria via LeMat-Bulk describes a relaxed KSc2TaV crystal. The functional is PBE.

Properties
* calculated volume: 30.18 Å³/atom
* magnetic moment: 0.184 Bohr magnetons per cell
* ΔH_f (0 K): 1.8424 eV per atom
* density of states at the Fermi level: 8.96 states/eV per cell

The structure in POSCAR format:
```
KSc2TaV
1.0
5.132 0.000 0.000
0.000 5.132 0.000
0.000 0.000 5.729
K Sc Ta V
1 2 1 1
direct
0.000 0.000 0.000
0.000 0.500 0.500
0.500 0.000 0.500
0.000 0.000 0.500
0.500 0.500 0.000
```